# ZnCd3Ag4, relaxed, DFT PBE-GGA
data_ZnCd3Ag4
_symmetry_space_group_name_H-M 'P 1'
_symmetry_Int_Tables_number 1
_cell_length_a 3.067
_cell_length_b 3.067
_cell_length_c 15.810
_cell_angle_alpha 90.00
_cell_angle_beta 90.00
_cell_angle_gamma 90.00
loop_
_symmetry_equiv_pos_as_xyz
'x,y,z'
loop_
_atom_site_label
_atom_site_fract_x
_atom_site_fract_y
_atom_site_fract_z
Ag1 0.000 0.000 0.631
Ag2 0.000 0.000 0.108
Ag3 0.000 0.000 0.892
Ag4 0.000 0.000 0.369
Cd1 0.500 0.500 0.761
Cd2 0.500 0.500 0.239
Cd3 0.500 0.500 0.500
Zn1 0.500 0.500 0.000
# VASP energy (eV per atom): -1.978
# Space group: P4/mmm (123)
# DFT formation energy (kJ/mol of formula units): -38
# Total magnetization (Bohr magnetons per cell): 0.00